# 1
First-principles (PBE-GGA) data for a geometry-optimized MoSe structure, as listed in Alexandria via LeMat-Bulk.

Computed properties:
Its uncorrected formation energy is 0.0459 eV per atom. The space group is I4/m.

Unit cell a=10.9419 b=10.9419 c=3.3468 alpha=90.00 beta=90.00 gamma=90.00
Atoms (fractional coordinates):
Se  0.2015  0.4288  0.0000
Se  0.4288  0.7985  0.0000
Se  0.5712  0.2015  0.0000
Se  0.0712  0.7015  0.5000
Se  0.2985  0.0712  0.5000
Se  0.9288  0.2985  0.5000
Se  0.7985  0.5712  0.0000
Se  0.7015  0.9288  0.5000
Mo  0.2355  0.6612  0.0000
Mo  0.3388  0.2355  0.0000
Mo  0.8388  0.7355  0.5000
Mo  0.7355  0.1612  0.5000
Mo  0.7645  0.3388  0.0000
Mo  0.2645  0.8388  0.5000
Mo  0.6612  0.7645  0.0000
Mo  0.1612  0.2645  0.5000

---

# 2
First-principles (PBE-GGA) data for a geometry-optimized YGa2Sb structure, as listed in Alexandria via LeMat-Bulk.

Computed properties:
Its uncorrected formation energy is -0.1770 eV per atom. The space group is Fm-3m.

Unit cell a=5.1179 b=5.1179 c=5.1179 alpha=60.00 beta=60.00 gamma=60.00
Atoms (fractional coordinates):
Sb  0.5000  0.5000  0.5000
Ga  0.7500  0.7500  0.7500
Ga  0.2500  0.2500  0.2500
Y  0.0000  0.0000  0.0000

---

# 3
First-principles (PBE-GGA) data for a geometry-optimized CuINO2 structure, as listed in Alexandria via LeMat-Bulk.

Computed properties:
Its uncorrected formation energy is 0.9827 eV per atom. The space group is P4/mmm.

Unit cell a=4.0123 b=4.0123 c=4.1037 alpha=90.00 beta=90.00 gamma=90.00
Atoms (fractional coordinates):
N  0.0000  0.0000  0.5000
Cu  0.5000  0.5000  0.5000
I  0.0000  0.0000  0.0000
O  0.0000  0.5000  0.0000
O  0.5000  0.0000  0.0000

---

# 4
First-principles (PBE-GGA) data for a geometry-optimized CaOs2Se structure, as listed in Alexandria via LeMat-Bulk.

Computed properties:
Its uncorrected formation energy is 0.4051 eV per atom. The space group is P2/m.

Unit cell a=5.1490 b=3.1254 c=4.5844 alpha=89.81 beta=90.00 gamma=90.00
Atoms (fractional coordinates):
Se  0.5000  0.2500  0.2500
Os  0.0000  0.1005  0.9986
Os  0.0000  0.3995  0.5014
Ca  0.5000  0.7500  0.7500

---

# 5
First-principles (PBE-GGA) data for a geometry-optimized Pm8Co3SI3 structure, as listed in Alexandria via LeMat-Bulk.

Computed properties:
Its uncorrected formation energy is -0.6585 eV per atom. The space group is R-3m.

Unit cell a=8.1795 b=8.1749 c=9.1050 alpha=116.66 beta=90.02 gamma=119.99
Atoms (fractional coordinates):
Co  0.5000  0.5000  0.5000
Co  0.5000  0.0000  0.5000
Co  0.0000  0.5000  0.5000
I  0.0000  0.0000  0.0000
I  0.5000  0.5000  0.0000
I  0.0000  0.5000  0.0000
Pm  0.2378  0.9505  0.6882
Pm  0.2377  0.4755  0.6884
Pm  0.7622  0.0495  0.3118
Pm  0.7125  0.9503  0.6880
Pm  0.7623  0.5245  0.3116
Pm  0.7281  0.4563  0.6842
Pm  0.2875  0.0497  0.3120
Pm  0.2719  0.5437  0.3158
S  0.0000  0.0000  0.5000

---

# 6
First-principles (PBE-GGA) data for a geometry-optimized CeHoZrAl structure, as listed in Alexandria via LeMat-Bulk.

Computed properties:
The space group is F-43m. The formation energy comes out at -25 meV per atom.

Unit cell a=5.1794 b=5.1794 c=5.1794 alpha=60.00 beta=60.00 gamma=60.00
Atoms (fractional coordinates):
Ho  0.0000  0.0000  0.0000
Zr  0.2500  0.2500  0.2500
Ce  0.5000  0.5000  0.5000
Al  0.7500  0.7500  0.7500